No. 1
Below is a relaxed Dy13Tm3 crystal, with properties calculated at the PBE-GGA level.

As for the crystal system: orthorhombic. For the calculated formation energy, the calculation gives 2 kJ/mol of atoms. For the energy above the most stable polymorph in this dataset, the calculation gives 10 meV per atom. Its total DFT energy (no corrections) is -146.0 eV for the cell shown.

The structure belongs to space group Amm2 (No. 38); the cell edges are 9.9554, 9.9690 and 9.9720 Å and the angles 90.00°, 90.00° and 90.00°. Symmetry generates all atoms from Dy at (0.0000, 0.0000, 0.0000), Dy at (0.0000, 0.0000, 0.4990), Dy at (0.0000, 0.2494, 0.2495), Dy at (0.2505, 0.2497, 0.9995), Dy at (0.2506, 0.0000, 0.7498), Dy at (0.5000, 0.0000, 0.4988), Dy at (0.5000, 0.2494, 0.2495), Tm at (0.2503, 0.0000, 0.2492) and Tm at (0.5000, 0.0000, 0.0002).

No. 2
Below is a relaxed DyTm crystal, with properties calculated at the PBE-GGA level.

As for the crystal system: monoclinic. For the calculated formation energy, the calculation gives 4 kJ/mol of atoms. For the energy above the most stable polymorph in this dataset, the calculation gives 21 meV per atom. Its total DFT energy (no corrections) is -18.0 eV for the cell shown.

The structure belongs to space group P2_1/m (No. 11); the cell edges are 3.4721, 5.4446 and 6.7340 Å and the angles 90.00°, 104.85° and 90.00°. Symmetry generates all atoms from Dy at (0.1706, 0.2500, 0.3429) and Tm at (0.4357, 0.2500, 0.8693).

No. 3
Below is a relaxed DyTm3 crystal, with properties calculated at the PBE-GGA level.

As for the crystal system: cubic. For the calculated formation energy, the calculation gives 14 kJ/mol of atoms. For the energy above the most stable polymorph in this dataset, the calculation gives 142 meV per atom. Its total DFT energy (no corrections) is -69.8 eV for the cell shown.

The structure belongs to space group Fm-3m (No. 225); the cell edges are 7.8960, 7.8960 and 7.8960 Å and the angles 90.00°, 90.00° and 90.00°. Symmetry generates all atoms from Dy at (0.0000, 0.0000, 0.0000), Tm at (0.0000, 0.0000, 0.5000) and Tm at (0.2500, 0.2500, 0.2500).

No. 4
Below is a relaxed DyTm7 crystal, with properties calculated at the PBE-GGA level.

As for the crystal system: cubic. For the calculated formation energy, the calculation gives 3 kJ/mol of atoms. Its total DFT energy (no corrections) is -142.6 eV for the cell shown.

The structure belongs to space group Fm-3m (No. 225); the cell edges are 9.8624, 9.8624 and 9.8624 Å and the angles 90.00°, 90.00° and 90.00°. Symmetry generates all atoms from Dy at (0.0000, 0.0000, 0.0000), Tm at (0.0000, 0.0000, 0.5000) and Tm at (0.0000, 0.2500, 0.2500).

No. 5
Below is a relaxed DyTm5 crystal, with properties calculated at the PBE-GGA level.

As for the crystal system: monoclinic. For the calculated formation energy, the calculation gives 0 kJ/mol of atoms. For the energy above the most stable polymorph in this dataset, the calculation gives 0 meV per atom. Its total DFT energy (no corrections) is -54.0 eV for the cell shown.

The structure belongs to space group Cm (No. 8); the cell edges are 12.6758, 3.5687 and 8.2871 Å and the angles 90.00°, 102.71° and 90.00°. Symmetry generates all atoms from Dy at (0.0000, 0.0000, 0.0000), Tm at (0.1121, 0.5000, 0.7220), Tm at (0.1671, 0.5000, 0.3353), Tm at (0.2779, 0.0000, 0.0575), Tm at (0.3336, 0.0000, 0.6665) and Tm at (0.4447, 0.5000, 0.3900).

No. 6
Below is a relaxed Dy3Tm2 crystal, with properties calculated at the PBE-GGA level.

As for the crystal system: orthorhombic. For the calculated formation energy, the calculation gives 5 kJ/mol of atoms. For the energy above the most stable polymorph in this dataset, the calculation gives 0 meV per atom. Its total DFT energy (no corrections) is -179.8 eV for the cell shown.

The structure belongs to space group Fdd2 (No. 43); the cell edges are 11.5610, 16.7045 and 6.4102 Å and the angles 90.00°, 90.00° and 90.00°. Symmetry generates all atoms from Dy at (0.0000, 0.0000, 0.0000), Dy at (0.0514, 0.1020, 0.4517) and Tm at (0.0371, 0.2004, 0.9213).

No. 7
Below is a relaxed Dy4Tm3 crystal, with properties calculated at the PBE-GGA level.

As for the crystal system: orthorhombic. For the calculated formation energy, the calculation gives 2 kJ/mol of atoms. Its total DFT energy (no corrections) is -63.3 eV for the cell shown.

The structure belongs to space group Immm (No. 71); the cell edges are 3.5083, 4.9637 and 24.6066 Å and the angles 90.00°, 90.00° and 90.00°. Symmetry generates all atoms from Dy at (0.0000, 0.0000, 0.0712), Dy at (0.0000, 0.0000, 0.2140), Tm at (0.0000, 0.0000, 0.3574) and Tm at (0.0000, 0.0000, 0.5000).

No. 8
Below is a relaxed Dy2TmU crystal, with properties calculated at the PBE-GGA level.

As for the crystal system: trigonal. For the calculated formation energy, the calculation gives 42 kJ/mol of atoms. Its total DFT energy (no corrections) is -69.7 eV for the cell shown.

The structure belongs to space group R-3m (No. 166, hexagonal axes); the cell edges are 3.2796, 3.2796 and 36.3858 Å and the angles 90.00°, 90.00° and 120.00°. Symmetry generates all atoms from Dy at (0.0000, 0.0000, 0.0878), Tm at (0.0000, 0.0000, 0.5000) and U at (0.0000, 0.0000, 0.0000).